[1]
VASP calculation (PBE-GGA) on TaFe3Ag after structural relaxation.

Its formation energy is 1.77 eV/atom. As for the excess energy over the best structure of this formula in the dataset: 332.8 meV/atom. The total energy comes out at -6.248 eV per atom.

The structure belongs to space group Pm-3m (No. 221); the cell edges are 4.584, 4.584 and 4.584 Å and the angles 90.00°, 90.00° and 90.00°. The asymmetric unit holds Ta at (0.000, 0.000, 0.000), Fe at (0.000, 0.500, 0.500) and Ag at (0.500, 0.500, 0.500).

---

[2]
VASP calculation (PBE-GGA) on La2Nd8Ho3 after structural relaxation.

Its formation energy is 0.20 eV/atom. As for the excess energy over the best structure of this formula in the dataset: 40.3 meV/atom. The total energy comes out at -4.549 eV per atom.

The structure belongs to space group C2/m (No. 12); the cell edges are 21.097, 7.728 and 5.704 Å and the angles 90.00°, 90.02° and 90.00°. The asymmetric unit holds La at (0.241, 0.000, 0.499), Nd at (0.102, 0.295, 0.500), Nd at (0.128, 0.000, 0.999), Nd at (0.166, 0.500, 0.001), Ho at (0.000, 0.000, 0.500) and Ho at (0.000, 0.285, 0.000).

---

[3]
VASP calculation (PBE-GGA) on VNiMo after structural relaxation.

Its formation energy is -0.09 eV/atom. As for the excess energy over the best structure of this formula in the dataset: 46.1 meV/atom. The total energy comes out at -8.664 eV per atom.

The structure belongs to space group P2_1/m (No. 11); the cell edges are 2.596, 4.262 and 7.316 Å and the angles 90.00°, 95.90° and 90.00°. The asymmetric unit holds V at (0.004, 0.250, 0.287), Ni at (0.421, 0.750, 0.409) and Mo at (0.324, 0.250, 0.916).

---

[4]
VASP calculation (PBE-GGA) on La9TmSn2 after structural relaxation.

Its formation energy is -0.30 eV/atom. The total energy comes out at -5.039 eV per atom.

The structure belongs to space group P4/mmm (No. 123); the cell edges are 5.068, 5.068 and 15.417 Å and the angles 90.00°, 90.00° and 90.00°. The asymmetric unit holds La at (0.000, 0.000, 0.000), La at (0.000, 0.000, 0.337), La at (0.000, 0.500, 0.173), La at (0.000, 0.500, 0.500), Tm at (0.500, 0.500, 0.000) and Sn at (0.500, 0.500, 0.337).

---

[5]
VASP calculation (PBE-GGA) on Li2PW after structural relaxation.

Its formation energy is -0.01 eV/atom. The total energy comes out at -5.557 eV per atom.

The structure belongs to space group Cm (No. 8); the cell edges are 8.808, 2.796 and 5.209 Å and the angles 90.00°, 113.38° and 90.00°. The asymmetric unit holds Li at (0.000, 0.000, 0.000), Li at (0.220, 0.000, 0.833), P at (0.032, 0.500, 0.413) and W at (0.301, 0.500, 0.400).

---

[6]
VASP calculation (PBE-GGA) on Th8Si3Te4S after structural relaxation.

The total energy comes out at -6.876 eV per atom. The value obtained for the uncorrected formation energy is -1.11 eV per atom.

The structure belongs to space group R-3m (No. 166, hexagonal axes); the cell edges are 8.5261, 8.5261 and 22.2333 Å and the angles 90.00°, 90.00° and 120.00°. The asymmetric unit holds Th at (0.0000, 0.0000, 0.2372), Th at (0.0031, 0.5015, 0.2365), Si at (0.0000, 0.5000, 0.5000), Te at (0.0000, 0.0000, 0.0000), Te at (0.0000, 0.5000, 0.0000) and S at (0.0000, 0.0000, 0.5000).

---

[7]
VASP calculation (PBE-GGA) on KCd2Ga2Au2 after structural relaxation.

Its formation energy is -0.23 eV/atom. The total energy comes out at -2.450 eV per atom.

The structure belongs to space group R-3m (No. 166, hexagonal axes); the cell edges are 4.4580, 4.4580 and 29.9859 Å and the angles 90.00°, 90.00° and 120.00°. The asymmetric unit holds K at (0.0000, 0.0000, 0.0000), Cd at (0.0000, 0.0000, 0.1397), Ga at (0.0000, 0.0000, 0.4136) and Au at (0.0000, 0.0000, 0.2402).

---

[8]
VASP calculation (PBE-GGA) on Pu2Ga3SiAu4 after structural relaxation.

The total energy comes out at -6.000 eV per atom. The value obtained for the uncorrected formation energy is -0.37 eV per atom.

The structure belongs to space group P-4m2 (No. 115); the cell edges are 4.437, 4.437 and 10.337 Å and the angles 90.00°, 90.00° and 90.00°. The asymmetric unit holds Pu at (0.000, 0.500, 0.245), Ga at (0.000, 0.000, 0.000), Ga at (0.000, 0.500, 0.634), Si at (0.500, 0.500, 0.000), Au at (0.000, 0.000, 0.500), Au at (0.000, 0.500, 0.876) and Au at (0.500, 0.500, 0.500).